Record 1
VASP calculation (PBE-GGA) on RePbAu2 after structural relaxation.

DFT formation energy   0.649 eV per atom
Symmetry   Pmm2 (25)

Unit cell a=2.907 b=4.912 c=5.390 alpha=90.00 beta=90.00 gamma=90.00
Element x y z (fractional)
Re1 0.000 0.000 0.000
Pb1 0.000 0.500 0.340
Au1 0.500 0.000 0.541
Au2 0.500 0.500 0.865



Record 2
VASP calculation (PBE-GGA) on LiMgPb after structural relaxation.

ΔE to the lowest computed polymorph   0.000 eV/atom
DFT formation energy   -0.184 eV per atom
Symmetry   Imm2 (44)

Unit cell a=5.230 b=5.230 c=5.230 alpha=139.97 beta=130.88 gamma=65.15
Element x y z (fractional)
Li1 0.000 0.000 0.000
Mg1 0.671 0.671 0.000
Pb1 0.332 0.332 0.000



Record 3
VASP calculation (PBE-GGA) on CoOs3 after structural relaxation.

DFT formation energy   0.168 eV per atom
Symmetry   C2/m (12)

Unit cell a=4.620 b=4.620 c=4.626 alpha=99.44 beta=99.44 gamma=33.81
Element x y z (fractional)
Co1 0.000 0.000 0.000
Os1 0.249 0.249 0.757
Os2 0.500 0.500 0.500
Os3 0.751 0.751 0.243



Record 4
VASP calculation (PBE-GGA) on Mg7Cu3Se2 after structural relaxation.

Energy relative to the elements, uncorrected   0.09 eV/atom
Symmetry   R-3m (166)

Unit cell a=9.249 b=9.249 c=9.249 alpha=38.87 beta=38.87 gamma=38.87
Element x y z (fractional)
Mg1 0.000 0.000 0.000
Mg2 0.077 0.077 0.577
Mg3 0.077 0.577 0.077
Mg4 0.423 0.923 0.923
Mg5 0.577 0.077 0.077
Mg6 0.923 0.423 0.923
Mg7 0.923 0.923 0.423
Cu1 0.404 0.404 0.404
Cu2 0.500 0.500 0.500
Cu3 0.596 0.596 0.596
Se1 0.168 0.168 0.168
Se2 0.832 0.832 0.832



Record 5
VASP calculation (PBE-GGA) on MnReAs after structural relaxation.

ΔE to the lowest computed polymorph   0.144 eV/atom
DFT formation energy   0.219 eV per atom
Symmetry   P3m1 (156)

Unit cell a=2.800 b=2.800 c=6.177 alpha=90.00 beta=90.00 gamma=120.00
Element x y z (fractional)
Mn1 0.000 0.000 0.000
Re1 0.667 0.333 0.314
As1 0.333 0.667 0.687



Record 6
VASP calculation (PBE-GGA) on Re2OsBr after structural relaxation.

Energy relative to the elements, uncorrected   1.03 eV/atom
ΔE to the lowest computed polymorph   0.324 eV/atom
Symmetry   Cmmm (65)

Unit cell a=2.773 b=2.773 c=10.116 alpha=90.00 beta=90.00 gamma=119.25
Element x y z (fractional)
Re1 0.000 0.000 0.221
Re2 0.000 0.000 0.779
Os1 0.500 0.500 0.000
Br1 0.500 0.500 0.500